! Ba2Br2Cl | the Alexandria database | PBE-GGA | optimized geometry; values from VASP
&SYSTEM
  ibrav = 0, nat = 10, ntyp = 3
/
ATOMIC_SPECIES
Ba 137.33 Ba.upf
Br 79.90 Br.upf
Cl 35.45 Cl.upf
CELL_PARAMETERS angstrom
8.588 0.000 0.000
0.000 8.588 0.000
0.000 0.000 4.738
ATOMIC_POSITIONS crystal
Ba 0.166 0.334 0.000
Ba 0.334 0.834 0.000
Ba 0.666 0.166 0.000
Ba 0.834 0.666 0.000
Br 0.144 0.644 0.500
Br 0.356 0.144 0.500
Br 0.644 0.856 0.500
Br 0.856 0.356 0.500
Cl 0.000 0.000 0.000
Cl 0.500 0.500 0.000
! Density of states at the Fermi level (states/eV/cell): 2.911
! Formation energy without anion corrections (eV/atom): -1.9709
! Total energy (eV/atom): -3.778


! Ba2BrCl2 | the Alexandria database | PBE-GGA | optimized geometry; values from VASP
&SYSTEM
  ibrav = 0, nat = 10, ntyp = 3
/
ATOMIC_SPECIES
Ba 137.33 Ba.upf
Br 79.90 Br.upf
Cl 35.45 Cl.upf
CELL_PARAMETERS angstrom
8.948 0.000 0.000
0.000 8.948 0.000
0.000 0.000 4.031
ATOMIC_POSITIONS crystal
Ba 0.165 0.335 0.000
Ba 0.335 0.835 0.000
Ba 0.665 0.165 0.000
Ba 0.835 0.665 0.000
Br 0.000 0.000 0.000
Br 0.500 0.500 0.000
Cl 0.133 0.633 0.500
Cl 0.367 0.133 0.500
Cl 0.633 0.867 0.500
Cl 0.867 0.367 0.500
! Density of states at the Fermi level (states/eV/cell): 2.811
! Formation energy without anion corrections (eV/atom): -2.0449
! Energy relative to the lowest polymorph listed for this composition (meV per atom): 0
! Total energy (eV/atom): -3.887


! Ba3Br4Cl2 | the Alexandria database | PBE-GGA | optimized geometry; values from VASP
&SYSTEM
  ibrav = 0, nat = 36, ntyp = 3
/
ATOMIC_SPECIES
Ba 137.33 Ba.upf
Br 79.90 Br.upf
Cl 35.45 Cl.upf
CELL_PARAMETERS angstrom
8.342 0.000 0.000
0.032 10.960 0.000
0.032 4.273 13.237
ATOMIC_POSITIONS crystal
Ba 0.000 0.000 0.000
Ba 0.000 0.326 0.669
Ba 0.000 0.666 0.325
Ba 0.014 0.841 0.671
Ba 0.015 0.166 0.331
Ba 0.016 0.498 0.999
Ba 0.499 0.830 0.915
Ba 0.500 0.164 0.580
Ba 0.502 0.495 0.247
Ba 0.513 0.651 0.574
Ba 0.526 0.318 0.909
Ba 0.526 0.985 0.242
Br 0.235 0.187 0.093
Br 0.236 0.516 0.762
Br 0.236 0.855 0.422
Br 0.290 0.462 0.480
Br 0.292 0.128 0.815
Br 0.293 0.796 0.147
Br 0.405 0.197 0.348
Br 0.405 0.864 0.682
Br 0.406 0.531 0.014
Br 0.737 0.299 0.149
Br 0.737 0.633 0.819
Br 0.737 0.970 0.482
Br 0.788 0.031 0.764
Br 0.789 0.361 0.429
Br 0.790 0.693 0.097
Br 0.907 0.627 0.562
Cl 0.116 0.792 0.898
Cl 0.117 0.127 0.561
Cl 0.118 0.457 0.227
Cl 0.621 0.366 0.682
Cl 0.621 0.699 0.349
Cl 0.622 0.032 0.016
Cl 0.904 0.289 0.895
Cl 0.904 0.957 0.227
! Density of states at the Fermi level (states/eV/cell): 0.000
! Formation energy without anion corrections (eV/atom): -2.3254
! Total energy (eV/atom): -4.120


> Which formula does entry 1 have?

Ba2Br2Cl